An optimized crystal structure of Ce2UGe3Pt4, computed with PBE.

Cell and atoms, written as CIF:
```
data_Ce2UGe3Pt4
_cell_length_a 4.326
_cell_length_b 4.326
_cell_length_c 11.033
_cell_angle_alpha 90.00
_cell_angle_beta 90.00
_cell_angle_gamma 90.00
_symmetry_space_group_name_H-M 'P -4 m 2'
_symmetry_Int_Tables_number 115
_symmetry_space_group_name_Hall 'P -4 -2'
loop_
_atom_site_label
_atom_site_type_symbol
_atom_site_fract_x
_atom_site_fract_y
_atom_site_fract_z
Ce1 Ce 0.000 0.500 0.232
U1 U 0.000 0.000 0.500
Ge1 Ge 0.000 0.500 0.879
Ge2 Ge 0.500 0.500 0.500
Pt1 Pt 0.000 0.000 0.000
Pt2 Pt 0.000 0.500 0.656
Pt3 Pt 0.500 0.500 0.000
```

Output
- crystal system = tetragonal
- uncorrected energy (eV/atom) = -6.910